(1)
A geometry-optimized Al2TlW structure, computed with GGA-PBE.

Values from the calculation:
ΔE to the lowest computed polymorph = 145 meV/atom
E_form = 430 meV per atom
calculated volume = 233.5 Å³/cell
uncorrected energy = -5.271 eV per atom
Fermi-level density of states = 0.4056 states/eV/atom

abc: 2.9368 2.9368 31.2587
angles: 90.00 90.00 120.00
Last column: nearest neighbours and their distance in Å.
Space group R3m (No. 160, hexagonal axes)
Symmetry-distinct sites (fractional):
1 Al 0.0000 0.0000 0.0000 (multiplicity 3)  3 W 2.74, 9 Al 2.88-2.94
2 Al 0.0000 0.0000 0.2591 (multiplicity 3)  9 Al 2.88-2.94
3 Tl 0.0000 0.0000 0.4879 (multiplicity 3)  6 Tl 2.94, 3 W 3.17
4 W 0.0000 0.0000 0.7356 (multiplicity 3)  3 Al 2.74, 6 W 2.94

(2)
A geometry-optimized TmMg4 structure, computed with GGA-PBE.

Values from the calculation:
ΔE to the lowest computed polymorph = 1032 meV/atom
E_form = 1008 meV per atom
calculated volume = 202.7 Å³/cell
uncorrected energy = -1.162 eV per atom
Fermi-level density of states = 1.1920 states/eV/atom

abc: 5.8746 5.8746 5.8746
angles: 90.00 90.00 90.00
Last column: nearest neighbours and their distance in Å.
Space group Pm-3m (No. 221)
Symmetry-distinct sites (fractional):
1 Tm 0.0000 0.0000 0.0000 (multiplicity 1)  6 Mg 2.94
2 Mg 0.0000 0.0000 0.5000 (multiplicity 3)  2 Tm 2.94
3 Mg 0.5000 0.5000 0.5000 (multiplicity 1)  12 Mg 4.15

(3)
A geometry-optimized Na4SnHg12 structure, computed with GGA-PBE.

Values from the calculation:
E_form = -128 meV per atom
calculated volume = 921.1 Å³/cell
uncorrected energy = -0.887 eV per atom
Fermi-level density of states = 0.5125 states/eV/atom

abc: 9.7299 9.7299 9.7299
angles: 90.00 90.00 90.00
Last column: nearest neighbours and their distance in Å.
Space group Im-3m (No. 229)
Symmetry-distinct sites (fractional):
1 Na 0.2500 0.2500 0.2500 (multiplicity 8)  12 Hg 3.44-3.48
2 Sn 0.0000 0.0000 0.0000 (multiplicity 2)  6 Hg 2.94
3 Hg 0.0000 0.0000 0.3019 (multiplicity 12)  1 Sn 2.94, 4 Hg 3.10
4 Hg 0.0000 0.2500 0.5000 (multiplicity 12)  8 Hg 3.10-3.44, 4 Na 3.44

(4)
A geometry-optimized GdHfCd2 structure, computed with GGA-PBE.

Values from the calculation:
ΔE to the lowest computed polymorph = 52 meV/atom
E_form = -51 meV per atom
calculated volume = 95.1 Å³/cell
uncorrected energy = -6.517 eV per atom
Fermi-level density of states = 0.8871 states/eV/atom

abc: 5.2052 5.2052 3.5102
angles: 90.00 90.00 90.00
Last column: nearest neighbours and their distance in Å.
Space group P4/mmm (No. 123)
Symmetry-distinct sites (fractional):
1 Gd 0.0000 0.0000 0.0000 (multiplicity 1)  8 Cd 3.14, 2 Gd 3.51
2 Hf 0.5000 0.5000 0.0000 (multiplicity 1)  8 Cd 3.14, 2 Hf 3.51
3 Cd 0.0000 0.5000 0.5000 (multiplicity 2)  4 Hf 3.14, 4 Gd 3.14, 2 Cd 3.51

(5)
A geometry-optimized MnNiMo2 structure, computed with GGA-PBE.

Values from the calculation:
ΔE to the lowest computed polymorph = 178 meV/atom
E_form = 242 meV per atom
calculated volume = 111.6 Å³/cell
uncorrected energy = -8.912 eV per atom
Fermi-level density of states = 1.2327 states/eV/atom

abc: 8.8975 2.6424 4.8059
angles: 90.00 98.92 90.00
Last column: nearest neighbours and their distance in Å.
Space group C2/m (No. 12)
Symmetry-distinct sites (fractional):
1 Mn 0.0000 0.0000 0.0000 (multiplicity 2)  2 Mn 2.64, 6 Mo 2.66-2.74, 4 Ni 2.74
2 Ni 0.0000 0.5000 0.5000 (multiplicity 2)  2 Ni 2.64, 6 Mo 2.67-2.72, 4 Mn 2.74
3 Mo 0.2452 0.0000 0.7473 (multiplicity 4)  6 Mo 2.64-2.75, 3 Mn 2.66-2.74, 3 Ni 2.67-2.72

(6)
A geometry-optimized CsInO2 structure, computed with GGA-PBE.

Values from the calculation:
calculated volume = 141.5 Å³/cell
uncorrected energy = -4.752 eV per atom
ΔE_f (raw) = -5.50 eV per formula unit
Fermi-level density of states = 0.0000 states/eV/atom

abc: 5.9891 3.4581 7.1206
angles: 90.00 106.37 90.00
Last column: nearest neighbours and their distance in Å.
Space group Cm (No. 8)
Symmetry-distinct sites (fractional):
1 Cs 0.0000 0.0000 0.0000 (multiplicity 2)  6 O 2.98-3.11
2 In 0.3310 0.5000 0.4901 (multiplicity 2)  6 O 2.28-2.30
3 O 0.2186 0.0000 0.6524 (multiplicity 2)  3 In 2.28
4 O 0.4419 0.0000 0.3241 (multiplicity 2)  3 In 2.30

(7)
A geometry-optimized PaTa2Hg2S6 structure, computed with GGA-PBE.

Values from the calculation:
calculated volume = 612.5 Å³/cell
uncorrected energy = -6.254 eV per atom
ΔE_f (raw) = -10.23 eV per formula unit
Fermi-level density of states = 0.8995 states/eV/atom

abc: 6.0300 10.9961 9.5950
angles: 90.00 105.71 90.00
Last column: nearest neighbours and their distance in Å.
Space group C2/m (No. 12)
Symmetry-distinct sites (fractional):
1 Pa 0.0000 0.0000 0.0000 (multiplicity 2)  6 S 2.62-2.68
2 Ta 0.0000 0.3235 0.0000 (multiplicity 4)  6 S 2.44-2.57
3 Hg 0.0000 0.1776 0.5000 (multiplicity 4)  2 Hg 3.41, 4 S 3.54-3.81
4 S 0.2068 0.5000 0.1582 (multiplicity 4)  2 Ta 2.57, 1 Pa 2.62
5 S 0.2401 0.1771 0.1660 (multiplicity 8)  2 Ta 2.44-2.52, 1 Pa 2.68

(8)
A geometry-optimized Li2Y2ErGa2 structure, computed with GGA-PBE.

Values from the calculation:
E_form = -288 meV per atom
calculated volume = 481.6 Å³/cell
uncorrected energy = -4.199 eV per atom
Fermi-level density of states = 0.6511 states/eV/atom

abc: 4.5648 4.5648 26.6897
angles: 90.00 90.00 120.00
Last column: nearest neighbours and their distance in Å.
Space group R-3m (No. 166, hexagonal axes)
Symmetry-distinct sites (fractional):
1 Li 0.0000 0.0000 0.1054 (multiplicity 6)  3 Ga 2.65
2 Y 0.0000 0.0000 0.3749 (multiplicity 6)  3 Ga 3.02, 3 Li 3.14, 1 Er 3.34
3 Er 0.0000 0.0000 0.5000 (multiplicity 3)  6 Li 3.10, 6 Ga 3.23, 2 Y 3.34
4 Ga 0.0000 0.0000 0.2365 (multiplicity 6)  3 Li 2.65

(9)
A geometry-optimized K4Na5Hg2 structure, computed with GGA-PBE.

Values from the calculation:
E_form = -59 meV per atom
calculated volume = 489.3 Å³/cell
uncorrected energy = -1.113 eV per atom
Fermi-level density of states = 0.5332 states/eV/atom

abc: 9.2492 4.6200 11.4744
angles: 90.00 93.73 90.00
Last column: nearest neighbours and their distance in Å.
Space group P2/m (No. 10)
Symmetry-distinct sites (fractional):
1 K 0.1737 0.0000 0.3589 (multiplicity 2)  2 Hg 3.59, 2 Na 4.00
2 K 0.2326 0.0000 0.9395 (multiplicity 2)  4 Hg 3.61-3.64, 4 Na 3.96-3.98
3 Na 0.1798 0.5000 0.6600 (multiplicity 2)  1 Hg 3.40, 1 Na 3.58
4 Na 0.4384 0.5000 0.1796 (multiplicity 2)  1 Hg 3.47, 2 Na 3.68-3.87
5 Na 0.5000 0.5000 0.5000 (multiplicity 1)  4 Na 3.58-3.68
6 Hg 0.0642 0.5000 0.1308 (multiplicity 2)  1 Hg 3.15, 2 Na 3.40-3.47

(10)
A geometry-optimized SnAsHF2 structure, computed with GGA-PBE.

Values from the calculation:
calculated volume = 98.2 Å³/cell
uncorrected energy = -3.721 eV per atom
Fermi-level density of states = 0.5753 states/eV/atom

abc: 4.1967 4.1967 5.5740
angles: 90.00 90.00 90.00
Last column: nearest neighbours and their distance in Å.
Space group P4/mmm (No. 123)
Symmetry-distinct sites (fractional):
1 Sn 0.0000 0.0000 0.0000 (multiplicity 1)  4 F 2.10
2 As 0.0000 0.0000 0.5000 (multiplicity 1)  2 Sn 2.79, 4 H 2.97
3 H 0.5000 0.5000 0.5000 (multiplicity 1)  4 As 2.97
4 F 0.0000 0.5000 0.0000 (multiplicity 2)  2 Sn 2.10

(11)
A geometry-optimized TaCd2Sb structure, computed with GGA-PBE.

Values from the calculation:
calculated volume = 193.1 Å³/cell
uncorrected energy = -4.270 eV per atom
ΔE_f (raw) = 0.73 eV per formula unit
Fermi-level density of states = 0.3660 states/eV/atom

abc: 3.6598 4.7457 11.1159
angles: 90.00 90.00 90.00
Last column: nearest neighbours and their distance in Å.
Space group Cmm2 (No. 35)
Symmetry-distinct sites (fractional):
1 Ta 0.0000 0.0000 0.0000 (multiplicity 2)  2 Sb 2.89, 2 Cd 2.95, 4 Ta 3.00
2 Cd 0.0000 0.0000 0.5465 (multiplicity 2)  6 Cd 3.00-3.29
3 Cd 0.0000 0.5000 0.7924 (multiplicity 2)  2 Ta 2.95, 6 Cd 3.00-3.29
4 Sb 0.0000 0.5000 0.2013 (multiplicity 2)  2 Ta 2.89, 4 Sb 3.00

(12)
A geometry-optimized Tm3NiHg2 structure, computed with GGA-PBE.

Values from the calculation:
E_form = -330 meV per atom
calculated volume = 605.3 Å³/cell
uncorrected energy = -3.630 eV per atom
Fermi-level density of states = 0.7846 states/eV/atom

abc: 14.5507 5.7722 7.4559
angles: 90.00 104.86 90.00
Last column: nearest neighbours and their distance in Å.
Space group C2/c (No. 15)
Symmetry-distinct sites (fractional):
1 Tm 0.0000 0.0012 0.2500 (multiplicity 4)  2 Ni 2.88-2.89
2 Tm 0.1288 0.4999 0.0642 (multiplicity 8)  2 Ni 2.60
3 Ni 0.0000 0.4992 0.7500 (multiplicity 4)  6 Tm 2.60-2.89
4 Hg 0.1904 0.9999 0.0953 (multiplicity 8)  6 Tm 3.01-3.26

(13)
A geometry-optimized Sc2Zn15Rh2 structure, computed with GGA-PBE.

Values from the calculation:
E_form = -239 meV per atom
calculated volume = 882.1 Å³/cell
uncorrected energy = -2.685 eV per atom
Fermi-level density of states = 0.3853 states/eV/atom

abc: 8.9089 8.9089 12.8338
angles: 90.00 90.00 120.00
Last column: nearest neighbours and their distance in Å.
Space group R-3m (No. 166, hexagonal axes)
Symmetry-distinct sites (fractional):
1 Sc 0.0000 0.0000 0.1786 (multiplicity 6)  1 Rh 2.68
2 Zn 0.0000 0.2870 0.5000 (multiplicity 18)  8 Zn 2.52-2.75
3 Zn 0.0000 0.5000 0.0000 (multiplicity 9)  8 Zn 2.52-2.61, 2 Rh 2.66
4 Zn 0.0073 0.5037 0.6460 (multiplicity 18)  8 Zn 2.57-2.75, 1 Rh 2.80
5 Rh 0.0000 0.0000 0.3872 (multiplicity 6)  12 Zn 2.66-2.94, 1 Sc 2.68, 1 Rh 2.90

(14)
A geometry-optimized Pm5In4Ga structure, computed with GGA-PBE.

Values from the calculation:
E_form = -508 meV per atom
calculated volume = 277.8 Å³/cell
uncorrected energy = -4.281 eV per atom
Fermi-level density of states = 0.5268 states/eV/atom

abc: 3.7835 3.7835 19.4052
angles: 90.00 90.00 90.00
Last column: nearest neighbours and their distance in Å.
Space group P4/mmm (No. 123)
Symmetry-distinct sites (fractional):
1 Pm 0.0000 0.0000 0.0000 (multiplicity 1)  8 In 3.33
2 Pm 0.0000 0.0000 0.2052 (multiplicity 2)  8 In 3.32-3.34
3 Pm 0.0000 0.0000 0.4087 (multiplicity 2)  4 Ga 3.21, 4 In 3.33, 1 Pm 3.54
4 In 0.5000 0.5000 0.1026 (multiplicity 2)  8 Pm 3.33-3.34
5 In 0.5000 0.5000 0.3067 (multiplicity 2)  8 Pm 3.32-3.33
6 Ga 0.5000 0.5000 0.5000 (multiplicity 1)  8 Pm 3.21

(15)
A geometry-optimized Na2HgCl structure, computed with GGA-PBE.

Values from the calculation:
ΔE to the lowest computed polymorph = 0 meV/atom
calculated volume = 318.2 Å³/cell
uncorrected energy = -2.108 eV per atom
ΔE_f (raw) = -3.65 eV per formula unit
Fermi-level density of states = 0.2718 states/eV/atom

abc: 3.7776 3.7776 25.7440
angles: 90.00 90.00 120.00
Last column: nearest neighbours and their distance in Å.
Space group R-3m (No. 166, hexagonal axes)
Symmetry-distinct sites (fractional):
1 Na 0.0000 0.0000 0.2346 (multiplicity 6)  3 Cl 2.80
2 Hg 0.0000 0.0000 0.0000 (multiplicity 3)  6 Na 3.35
3 Cl 0.0000 0.0000 0.5000 (multiplicity 3)  6 Na 2.80

(16)
A geometry-optimized TaMn2Ni structure, computed with GGA-PBE.

Values from the calculation:
ΔE to the lowest computed polymorph = 48 meV/atom
E_form = -4 meV per atom
calculated volume = 54.3 Å³/cell
uncorrected energy = -8.997 eV per atom
Fermi-level density of states = 0.7638 states/eV/atom

abc: 3.0917 3.0917 5.6803
angles: 90.00 90.00 90.00
Last column: nearest neighbours and their distance in Å.
Space group P4/mmm (No. 123)
Symmetry-distinct sites (fractional):
1 Ta 0.0000 0.0000 0.0000 (multiplicity 1)  8 Mn 2.64, 2 Ni 2.84
2 Mn 0.5000 0.5000 0.2609 (multiplicity 2)  4 Ni 2.57, 4 Ta 2.64, 1 Mn 2.72
3 Ni 0.0000 0.0000 0.5000 (multiplicity 1)  8 Mn 2.57, 2 Ta 2.84

(17)
A geometry-optimized AlPd3Pt structure, computed with GGA-PBE.

Values from the calculation:
ΔE to the lowest computed polymorph = 553 meV/atom
E_form = 145 meV per atom
calculated volume = 404.3 Å³/cell
uncorrected energy = -4.927 eV per atom
Fermi-level density of states = 0.9968 states/eV/atom

abc: 4.8900 4.8900 16.9091
angles: 90.00 90.00 90.00
Last column: nearest neighbours and their distance in Å.
Space group I-4m2 (No. 119)
Symmetry-distinct sites (fractional):
1 Al 0.0000 0.0000 0.0000 (multiplicity 2)  4 Pd 2.44
2 Al 0.0000 0.5000 0.2500 (multiplicity 2)  4 Pd 2.44
3 Pd 0.0000 0.2498 0.1252 (multiplicity 8)  2 Al 2.44, 2 Pd 2.44-2.45
4 Pd 0.0000 0.5000 0.5814 (multiplicity 4)  2 Pt 2.73, 2 Al 2.81, 4 Pd 2.83
5 Pt 0.0000 0.0000 0.3467 (multiplicity 4)  6 Pd 2.73-2.77, 2 Al 2.94

(18)
A geometry-optimized Zr5Ir3 structure, computed with GGA-PBE.

Values from the calculation:
ΔE to the lowest computed polymorph = 12 meV/atom
E_form = -719 meV per atom
calculated volume = 640.5 Å³/cell
uncorrected energy = -9.385 eV per atom
Fermi-level density of states = 1.0494 states/eV/atom

abc: 10.5811 10.5811 5.7212
angles: 90.00 90.00 90.00
Last column: nearest neighbours and their distance in Å.
Space group P4/ncc (No. 130, origin choice 2)
Symmetry-distinct sites (fractional):
1 Zr 0.0386 0.1627 0.1552 (multiplicity 16)  5 Ir 2.75-2.99
2 Zr 0.2500 0.7500 0.0000 (multiplicity 4)  4 Ir 2.75, 2 Zr 2.86
3 Ir 0.0927 0.5927 0.7500 (multiplicity 8)  8 Zr 2.75-2.99
4 Ir 0.2500 0.2500 0.4289 (multiplicity 4)  8 Zr 2.75-2.88, 2 Ir 2.86

(19)
A geometry-optimized LiPuGaGe2 structure, computed with GGA-PBE.

Values from the calculation:
E_form = -354 meV per atom
calculated volume = 190.8 Å³/cell
uncorrected energy = -6.055 eV per atom
Fermi-level density of states = 2.1980 states/eV/atom

abc: 4.0562 4.0562 11.5960
angles: 90.00 90.00 90.00
Last column: nearest neighbours and their distance in Å.
Space group I-4m2 (No. 119)
Symmetry-distinct sites (fractional):
1 Li 0.0000 0.0000 0.0000 (multiplicity 2)  4 Ge 2.60, 4 Ga 2.87
2 Pu 0.0000 0.5000 0.2500 (multiplicity 2)  8 Ge 3.14
3 Ga 0.0000 0.0000 0.5000 (multiplicity 2)  4 Ge 2.60, 4 Li 2.87
4 Ge 0.0000 0.5000 0.6399 (multiplicity 4)  1 Ge 2.55, 2 Li 2.60, 2 Ga 2.60

(20)
A geometry-optimized NdNpSb2 structure, computed with GGA-PBE.

Values from the calculation:
ΔE to the lowest computed polymorph = 149 meV/atom
calculated volume = 110.4 Å³/cell
uncorrected energy = -7.022 eV per atom
ΔE_f (raw) = -2.13 eV per formula unit
Fermi-level density of states = 2.7273 states/eV/atom

abc: 5.7866 5.7866 3.2970
angles: 90.00 90.00 90.00
Last column: nearest neighbours and their distance in Å.
Space group P4/mmm (No. 123)
Symmetry-distinct sites (fractional):
1 Nd 0.0000 0.0000 0.0000 (multiplicity 1)  2 Nd 3.30, 8 Sb 3.33
2 Np 0.5000 0.5000 0.0000 (multiplicity 1)  2 Np 3.30, 8 Sb 3.33
3 Sb 0.0000 0.5000 0.5000 (multiplicity 2)  2 Sb 3.30, 4 Np 3.33, 4 Nd 3.33